# 1
DFT (GGA-PBE) results for FeSbP2Cl after structural relaxation.

Values from the calculation:
For the energy relative to the lowest polymorph listed for this composition, the calculation gives 0 meV per atom.

```
FeSbP2Cl
1.0
4.4217 0.0000 0.0000
0.0000 4.4217 0.0000
0.0000 0.0000 4.7980
Fe Sb P Cl
1 1 2 1
direct
0.0000 0.0000 0.0000
0.5000 0.5000 0.5000
0.0000 0.5000 0.0000
0.5000 0.0000 0.0000
0.0000 0.0000 0.5000
```

=====

# 2
DFT (GGA-PBE) results for KZr4Pb after structural relaxation.

Values from the calculation:
Its formation energy is 0.5655 eV/atom.

```
KZr4Pb
1.0
0.0000 4.2996 4.2996
4.2996 0.0000 4.2996
4.2996 4.2996 0.0000
K Zr Pb
1 4 1
direct
0.0000 0.0000 0.0000
0.3752 0.3752 0.3752
0.3752 0.3752 0.8743
0.3752 0.8743 0.3752
0.8743 0.3752 0.3752
0.7500 0.7500 0.7500
```

=====

# 3
DFT (GGA-PBE) results for Sr2HgAs2 after structural relaxation.

Values from the calculation:
Its formation energy is -0.6015 eV/atom.

```
Sr2HgAs2
1.0
9.1396 0.0000 0.0000
0.0000 9.1396 0.0000
0.0000 0.0000 3.5438
Sr Hg As
4 2 4
direct
0.1417 0.3583 0.0000
0.3583 0.8583 0.0000
0.6417 0.1417 0.0000
0.8583 0.6417 0.0000
0.0000 0.0000 0.0000
0.5000 0.5000 0.0000
0.1598 0.6598 0.5000
0.3402 0.1598 0.5000
0.6598 0.8402 0.5000
0.8402 0.3402 0.5000
```